*w*
A geometry-optimized NiOsO2 structure, computed with PBE+U.

a b c (Å): 5.319 5.319 5.319
angles (deg): 90.00 90.00 90.00
Space group Fm-3m (No. 225)
Unique sites:
Ni 0.000 0.000 0.000 (multiplicity 4)
Os 0.000 0.000 0.500 (multiplicity 4)
O 0.250 0.250 0.250 (multiplicity 8)

*x*
A geometry-optimized NiOsO2 structure, computed with PBE+U.

a b c (Å): 4.919 4.919 8.091
angles (deg): 90.00 90.00 90.00
Space group I-42d (No. 122)
Unique sites:
Ni 0.000 0.000 0.000 (multiplicity 4)
Os 0.000 0.000 0.500 (multiplicity 4)
O 0.246 0.250 0.625 (multiplicity 8)

The structure with the least stability is *w*.

*w*
A geometry-optimized NiOsO2 structure, computed with PBE+U.

a b c (Å): 2.7946 2.7946 18.6379
angles (deg): 90.00 90.00 120.00
Space group R-3m (No. 166, hexagonal axes)
Unique sites:
Ni 0.0000 0.0000 0.0000 (multiplicity 3)
Os 0.0000 0.0000 0.5000 (multiplicity 3)
O 0.0000 0.0000 0.3973 (multiplicity 6)

*x*
A geometry-optimized NiOsO2 structure, computed with PBE+U.

a b c (Å): 10.877 3.898 6.179
angles (deg): 90.00 120.21 90.00
Space group Cm (No. 8)
Unique sites:
Ni 0.000 0.000 0.000 (multiplicity 2)
Ni 0.156 0.500 0.848 (multiplicity 2)
Os 0.223 0.500 0.385 (multiplicity 2)
Os 0.313 0.000 0.293 (multiplicity 2)
O 0.006 0.500 0.487 (multiplicity 2)
O 0.045 0.500 0.055 (multiplicity 2)
O 0.166 0.000 0.935 (multiplicity 2)
O 0.301 0.500 0.734 (multiplicity 2)

The structure with the least stability is *x*.

*w*
A geometry-optimized NiPOsO2 structure, computed with PBE+U.

a b c (Å): 3.537 3.537 4.898
angles (deg): 90.00 90.00 90.00
Space group P4/mmm (No. 123)
Unique sites:
Ni 0.000 0.000 0.000 (multiplicity 1)
P 0.000 0.000 0.500 (multiplicity 1)
Os 0.500 0.500 0.500 (multiplicity 1)
O 0.000 0.500 0.000 (multiplicity 2)

*x*
A geometry-optimized NiPOsO2 structure, computed with PBE+U.

a b c (Å): 3.692 3.692 5.304
angles (deg): 90.00 90.00 90.00
Space group P4/mmm (No. 123)
Unique sites:
Ni 0.000 0.000 0.000 (multiplicity 1)
P 0.500 0.500 0.000 (multiplicity 1)
Os 0.500 0.500 0.500 (multiplicity 1)
O 0.000 0.500 0.500 (multiplicity 2)

The structure with the least stability is *w*.

*w*
A geometry-optimized Ni3PO structure, computed with PBE+U.

a b c (Å): 4.065 4.065 4.065
angles (deg): 90.00 90.00 90.00
Space group Pm-3m (No. 221)
Unique sites:
Ni 0.000 0.000 0.500 (multiplicity 3)
P 0.000 0.000 0.000 (multiplicity 1)
O 0.500 0.500 0.500 (multiplicity 1)

*x*
A geometry-optimized Ni3PO structure, computed with PBE+U.

a b c (Å): 3.923 3.923 3.923
angles (deg): 90.00 90.00 90.00
Space group Pm-3m (No. 221)
Unique sites:
Ni 0.000 0.000 0.500 (multiplicity 3)
P 0.500 0.500 0.500 (multiplicity 1)
O 0.000 0.000 0.000 (multiplicity 1)

The structure with the least stability is *w*.